(1)
Compound: ScAg2Au2
Source: the Alexandria database
Functional: PBE-GGA
Structure: relaxed

CIF file:
```
data_ScAg2Au2
_chemical_formula_sum 'Sc2 Ag4 Au4'
_symmetry_space_group_name_H-M 'I 4/m m m'
_symmetry_Int_Tables_number 139
_symmetry_space_group_name_Hall '-I 4 2'
_cell_length_a 3.7939
_cell_length_b 3.7939
_cell_length_c 14.0143
_cell_angle_alpha 90.00
_cell_angle_beta 90.00
_cell_angle_gamma 90.00
loop_
_atom_site_label
_atom_site_type_symbol
_atom_site_fract_x
_atom_site_fract_y
_atom_site_fract_z
_atom_site_occupancy
Sc1 Sc 0.0000 0.0000 0.0000 1
Ag1 Ag 0.0000 0.5000 0.2500 1
Au1 Au 0.0000 0.0000 0.4033 1
```

Theoretical density: 10.8 g/cm3
ΔE to the lowest computed polymorph: 0 meV per atom
DFT formation energy: -1.21 eV/f.u.

(2)
Compound: CrCo2Rh
Source: the Alexandria database
Functional: PBE-GGA
Structure: relaxed

CIF file:
```
data_CrCo2Rh
_chemical_formula_sum 'Cr4 Co8 Rh4'
_symmetry_space_group_name_H-M 'F -4 3 m'
_symmetry_Int_Tables_number 216
_symmetry_space_group_name_Hall 'F -4 2 3'
_cell_length_a 5.8391
_cell_length_b 5.8391
_cell_length_c 5.8391
_cell_angle_alpha 90.00
_cell_angle_beta 90.00
_cell_angle_gamma 90.00
loop_
_atom_site_label
_atom_site_type_symbol
_atom_site_fract_x
_atom_site_fract_y
_atom_site_fract_z
_atom_site_occupancy
Cr1 Cr 0.0000 0.0000 0.0000 1
Co1 Co 0.0000 0.0000 0.5000 1
Co2 Co 0.2500 0.2500 0.2500 1
Rh1 Rh 0.2500 0.2500 0.7500 1
```

Theoretical density: 9.1 g/cm3
DFT formation energy: 0.92 eV/f.u.

What did the first record say?
Compound: ScAg2Au2
Source: the Alexandria database
Functional: PBE-GGA
Structure: relaxed

CIF file:
```
data_ScAg2Au2
_chemical_formula_sum 'Sc2 Ag4 Au4'
_symmetry_space_group_name_H-M 'I 4/m m m'
_symmetry_Int_Tables_number 139
_symmetry_space_group_name_Hall '-I 4 2'
_cell_length_a 3.7939
_cell_length_b 3.7939
_cell_length_c 14.0143
_cell_angle_alpha 90.00
_cell_angle_beta 90.00
_cell_angle_gamma 90.00
loop_
_atom_site_label
_atom_site_type_symbol
_atom_site_fract_x
_atom_site_fract_y
_atom_site_fract_z
_atom_site_occupancy
Sc1 Sc 0.0000 0.0000 0.0000 1
Ag1 Ag 0.0000 0.5000 0.2500 1
Au1 Au 0.0000 0.0000 0.4033 1
```

Theoretical density: 10.8 g/cm3
ΔE to the lowest computed polymorph: 0 meV per atom
DFT formation energy: -1.21 eV/f.u.